VASP calculation (PBE) on a relaxed structure of Ag2PPt.

Calculated values
ΔE_f: 0.194 eV per atom
DOS at the Fermi energy: 6.01 states/eV per cell
uncorrected energy: -4.0941 eV per atom
size of the total moment: 0.000 μB/atom

```
data_Ag2PPt
_chemical_formula_sum 'Ag8 P4 Pt4'
_cell_length_a 6.411
_cell_length_b 6.411
_cell_length_c 6.411
_cell_angle_alpha 90.00
_cell_angle_beta 90.00
_cell_angle_gamma 90.00
_symmetry_space_group_name_H-M 'F -4 3 m'
_symmetry_Int_Tables_number 216
_symmetry_space_group_name_Hall 'F -4 2 3'
loop_
_atom_site_label
_atom_site_type_symbol
_atom_site_fract_x
_atom_site_fract_y
_atom_site_fract_z
Ag1 Ag 0.000 0.000 0.000
Ag2 Ag 0.250 0.250 0.250
P1 P 0.250 0.250 0.750
Pt1 Pt 0.000 0.000 0.500
```